# 1
Here is a relaxed structure of TlFeTe2 from Alexandria via LeMat-Bulk. Energies are from PBE.

Cell: 3.324 3.343 9.191 Å, 90.00 90.00 90.00°
Space group Pmmm (No. 47)
Asymmetric unit:
Tl: 0.000 0.000 0.000
Fe: 0.000 0.000 0.500
Te: 0.500 0.500 0.322

volume = 25.53 Å³/atom
E_form (uncorrected) = 0.153 eV per atom
energy = -4.12 eV/atom



# 2
Here is a relaxed structure of TaAgAs2 from Alexandria via LeMat-Bulk. Energies are from PBE.

Cell: 2.9631 2.9631 32.1160 Å, 90.00 90.00 120.00°
Space group R3m (No. 160, hexagonal axes)
Asymmetric unit:
Ta: 0.0000 0.0000 0.0000
Ag: 0.0000 0.0000 0.2574
As: 0.0000 0.0000 0.5187
As: 0.0000 0.0000 0.7344

volume = 20.35 Å³/atom
energy relative to the elements = 221 meV per atom
energy = -5.78 eV/atom



# 3
Here is a relaxed structure of Ba2Cd2Pd from Alexandria via LeMat-Bulk. Energies are from PBE.

Cell: 4.134 4.134 19.867 Å, 90.00 90.00 90.00°
Space group I4/mmm (No. 139)
Asymmetric unit:
Ba: 0.000 0.000 0.092
Cd: 0.000 0.500 0.250
Pd: 0.000 0.000 0.500

volume = 33.96 Å³/atom
energy relative to the elements = -260 meV per atom
energy = -2.43 eV/atom
E above lowest polymorph = 0.846 eV/f.u.



# 4
Here is a relaxed structure of Sm2Tm3S6 from Alexandria via LeMat-Bulk. Energies are from PBE.

Cell: 6.766 11.670 6.801 Å, 90.00 109.30 90.00°
Space group C2/m (No. 12)
Asymmetric unit:
Sm: 0.000 0.165 0.000
Tm: 0.000 0.000 0.500
Tm: 0.000 0.336 0.500
S: 0.243 0.500 0.741
S: 0.247 0.166 0.737

volume = 23.04 Å³/atom
E_form (uncorrected) = -2.060 eV per atom
energy = -6.39 eV/atom



# 5
Here is a relaxed structure of KMn2NiBr8 from Alexandria via LeMat-Bulk. Energies are from PBE.

Cell: 6.7588 6.7588 9.2722 Å, 90.00 90.00 120.00°
Space group P-3 (No. 147)
Asymmetric unit:
K: 0.0000 0.0000 0.0000
Mn: 0.3333 0.6667 0.7211
Ni: 0.0000 0.0000 0.5000
Br: 0.0140 0.7061 0.3382
Br: 0.3333 0.6667 0.9803

volume = 30.57 Å³/atom
E_form (uncorrected) = -0.718 eV per atom
energy = -3.93 eV/atom



# 6
Here is a relaxed structure of Tl3GePt from Alexandria via LeMat-Bulk. Energies are from PBE.

Cell: 5.342 5.342 5.342 Å, 90.00 90.00 90.00°
Space group Pm-3m (No. 221)
Asymmetric unit:
Tl: 0.000 0.000 0.500
Ge: 0.500 0.500 0.500
Pt: 0.000 0.000 0.000

volume = 30.49 Å³/atom
energy relative to the elements = 318 meV per atom
energy = -3.23 eV/atom
E above lowest polymorph = 0.000 eV/f.u.



# 7
Here is a relaxed structure of Zr4OsRu from Alexandria via LeMat-Bulk. Energies are from PBE.

Cell: 3.306 3.306 10.599 Å, 90.00 90.00 90.00°
Space group P4/mmm (No. 123)
Asymmetric unit:
Zr: 0.000 0.000 0.152
Zr: 0.500 0.500 0.347
Os: 0.000 0.000 0.500
Ru: 0.500 0.500 0.000

volume = 19.31 Å³/atom
energy relative to the elements = -365 meV per atom
energy = -9.48 eV/atom
E above lowest polymorph = 0.000 eV/f.u.



# 8
Here is a relaxed structure of Y4US5 from Alexandria via LeMat-Bulk. Energies are from PBE.

Cell: 3.906 3.906 27.638 Å, 90.00 90.00 90.00°
Space group I4/mmm (No. 139)
Asymmetric unit:
Y: 0.000 0.000 0.099
Y: 0.000 0.000 0.302
U: 0.000 0.000 0.500
S: 0.000 0.000 0.000
S: 0.000 0.000 0.201
S: 0.000 0.000 0.400

volume = 21.08 Å³/atom
E_form (uncorrected) = -1.868 eV per atom
energy = -7.65 eV/atom



# 9
Here is a relaxed structure of MgTe2IN from Alexandria via LeMat-Bulk. Energies are from PBE.

Cell: 5.881 5.881 3.953 Å, 90.00 90.00 90.00°
Space group P4/mmm (No. 123)
Asymmetric unit:
Mg: 0.000 0.000 0.000
Te: 0.000 0.500 0.000
I: 0.500 0.500 0.500
N: 0.000 0.000 0.500

volume = 27.34 Å³/atom
E_form (uncorrected) = 0.665 eV per atom
energy = -2.89 eV/atom
E above lowest polymorph = 0.483 eV/f.u.



# 10
Here is a relaxed structure of Ce2NdPtN4 from Alexandria via LeMat-Bulk. Energies are from PBE.

Cell: 3.492 11.880 11.926 Å, 90.00 90.00 90.00°
Space group Cmcm (No. 63)
Asymmetric unit:
Ce: 0.000 0.129 0.053
Nd: 0.000 0.387 0.250
Pt: 0.000 0.350 0.750
N: 0.000 0.043 0.250
N: 0.000 0.226 0.615
N: 0.000 0.500 0.000

volume = 15.46 Å³/atom
E_form (uncorrected) = -0.989 eV per atom
energy = -7.99 eV/atom



# 11
Here is a relaxed structure of TlZn3F from Alexandria via LeMat-Bulk. Energies are from PBE.

Cell: 5.134 5.134 5.134 Å, 90.00 90.00 90.00°
Space group Pm-3m (No. 221)
Asymmetric unit:
Tl: 0.000 0.000 0.000
Zn: 0.000 0.000 0.500
F: 0.500 0.500 0.500

volume = 27.06 Å³/atom
E_form (uncorrected) = 0.075 eV per atom
energy = -1.54 eV/atom
E above lowest polymorph = 1.230 eV/f.u.



# 12
Here is a relaxed structure of Tb8PmSc6 from Alexandria via LeMat-Bulk. Energies are from PBE.

Cell: 9.3954 9.3954 17.3155 Å, 90.00 90.00 120.00°
Space group R-3 (No. 148, hexagonal axes)
Asymmetric unit:
Tb: 0.0000 0.0000 0.0911
Tb: 0.0523 0.2417 0.6750
Pm: 0.0000 0.0000 0.5000
Sc: 0.0306 0.2921 0.1795

volume = 29.42 Å³/atom
energy relative to the elements = 187 meV per atom
energy = -5.13 eV/atom



# 13
Here is a relaxed structure of HfCo2Rh2 from Alexandria via LeMat-Bulk. Energies are from PBE.

Cell: 6.445 6.445 3.424 Å, 90.00 90.00 90.00°
Space group P4/mbm (No. 127)
Asymmetric unit:
Hf: 0.000 0.000 0.000
Co: 0.126 0.374 0.000
Rh: 0.168 0.668 0.500

volume = 14.22 Å³/atom
energy relative to the elements = -165 meV per atom
energy = -7.94 eV/atom
E above lowest polymorph = 0.062 eV/f.u.



# 14
Here is a relaxed structure of CoRh2W from Alexandria via LeMat-Bulk. Energies are from PBE.

Cell: 2.732 2.732 7.428 Å, 90.00 90.00 90.00°
Space group P4mm (No. 99)
Asymmetric unit:
Co: 0.000 0.000 0.000
Rh: 0.000 0.000 0.501
Rh: 0.500 0.500 0.231
W: 0.500 0.500 0.761

volume = 13.87 Å³/atom
energy relative to the elements = 15 meV per atom
energy = -8.68 eV/atom
E above lowest polymorph = 0.623 eV/f.u.



# 15
Here is a relaxed structure of ReOs2Pt from Alexandria via LeMat-Bulk. Energies are from PBE.

Cell: 2.776 4.638 9.466 Å, 90.00 90.00 90.00°
Space group Cmmm (No. 65)
Asymmetric unit:
Re: 0.000 0.000 0.000
Os: 0.000 0.500 0.240
Pt: 0.000 0.000 0.500

volume = 15.23 Å³/atom
energy relative to the elements = 466 meV per atom
energy = -9.77 eV/atom
E above lowest polymorph = 1.629 eV/f.u.



# 16
Here is a relaxed structure of Pm3AlGa3 from Alexandria via LeMat-Bulk. Energies are from PBE.

Cell: 8.8629 8.8629 5.9395 Å, 90.00 90.00 120.00°
Space group P6_3/m (No. 176)
Asymmetric unit:
Pm: 0.0568 0.3517 0.2500
Al: 0.3333 0.6667 0.7500
Ga: 0.0505 0.3738 0.7500

volume = 28.86 Å³/atom
energy relative to the elements = -217 meV per atom
energy = -4.08 eV/atom
E above lowest polymorph = 2.662 eV/f.u.



# 17
Here is a relaxed structure of PdSe2I from Alexandria via LeMat-Bulk. Energies are from PBE.

Cell: 14.887 11.775 11.109 Å, 90.00 103.62 90.00°
Space group C2/c (No. 15)
Asymmetric unit:
Pd: 0.038 0.091 0.426
Pd: 0.241 0.359 0.213
Se: 0.000 0.038 0.750
Se: 0.000 0.241 0.250
Se: 0.101 0.393 0.052
Se: 0.135 0.188 0.141
Se: 0.173 0.029 0.329
I: 0.125 0.233 0.612
I: 0.156 0.487 0.861

volume = 29.57 Å³/atom
E_form (uncorrected) = -0.006 eV per atom
energy = -3.43 eV/atom
E above lowest polymorph = 0.722 eV/f.u.



# 18
Here is a relaxed structure of LiBeTe2I from Alexandria via LeMat-Bulk. Energies are from PBE.

Cell: 4.739 4.739 8.038 Å, 90.00 90.00 90.00°
Space group P4/mmm (No. 123)
Asymmetric unit:
Li: 0.000 0.000 0.000
Be: 0.500 0.500 0.500
Te: 0.000 0.500 0.500
I: 0.500 0.500 0.000

volume = 36.10 Å³/atom
E_form (uncorrected) = -0.057 eV per atom
energy = -2.75 eV/atom
E above lowest polymorph = 0.000 eV/f.u.



# 19
Here is a relaxed structure of Na4SrAu2 from Alexandria via LeMat-Bulk. Energies are from PBE.

Cell: 4.541 19.908 4.520 Å, 90.00 90.00 90.00°
Space group Cmmm (No. 65)
Asymmetric unit:
Na: 0.000 0.171 0.000
Na: 0.000 0.329 0.500
Sr: 0.000 0.000 0.500
Au: 0.000 0.431 0.000

volume = 29.19 Å³/atom
energy relative to the elements = -302 meV per atom
energy = -2.23 eV/atom



# 20
Here is a relaxed structure of Dy6Er2Mg from Alexandria via LeMat-Bulk. Energies are from PBE.

Cell: 3.5326 3.5326 25.8321 Å, 90.00 90.00 120.00°
Space group P-6m2 (No. 187)
Asymmetric unit:
Dy: 0.0000 0.0000 0.0666
Dy: 0.0000 0.0000 0.2842
Dy: 0.3333 0.6667 0.3942
Er: 0.3333 0.6667 0.1738
Mg: 0.0000 0.0000 0.5000

volume = 31.02 Å³/atom
energy relative to the elements = 60 meV per atom
energy = -4.20 eV/atom
E above lowest polymorph = 0.321 eV/f.u.